DFT (GGA-PBE) results for crystalline NaZrAlPt at its relaxed geometry.

Spin magnetization ... 0.000 μB/atom
Uncorrected energy ... -5.2072 eV/atom

Unit cell a=4.714 b=4.714 c=4.714 alpha=60.00 beta=60.00 gamma=60.00
Atoms (fractional coordinates):
Na1 0.000 0.000 0.000
Zr1 0.500 0.500 0.500
Al1 0.750 0.750 0.750
Pt1 0.250 0.250 0.250